{
  "formula": "ZnBPO",
  "functional": "PBE-GGA",
  "state": "relaxed",
  "total_energy_ev_per_fu": -18.69,
  "cell": [[-1.3602, -3.1939, -1.5425], [2.3817, -2.0466, 2.1376], [-5.3932, -0.4139, 5.6128]],
  "species": ["Zn", "Zn", "P", "P", "O", "O", "B", "B"],
  "frac_coords": [[0.0000, 0.5000, 0.0655], [0.5000, 0.0000, 0.9345], [0.5000, 0.0000, 0.3921], [0.0000, 0.5000, 0.6079], [0.0000, 0.0000, 0.0000], [0.5000, 0.5000, 0.0000], [0.5000, 0.5000, 0.5000], [0.0000, 0.0000, 0.5000]]
}


{
  "formula": "ZnBPO",
  "functional": "PBE-GGA",
  "state": "relaxed",
  "total_energy_ev_per_fu": -21.28,
  "cell": [[2.4245, 0.0000, 0.0000], [0.0000, 7.4108, 0.0000], [0.0000, 0.0000, 5.5682]],
  "species": ["P", "P", "Zn", "Zn", "O", "O", "B", "B"],
  "frac_coords": [[0.0000, 0.3766, 0.3412], [0.0000, 0.6234, 0.8412], [0.5000, 0.1062, 0.5433], [0.5000, 0.8938, 0.0433], [0.5000, 0.2783, 0.8935], [0.5000, 0.7217, 0.3935], [0.0000, 0.3620, 0.9760], [0.0000, 0.6380, 0.4760]]
}


{
  "formula": "Zn3BPO7",
  "functional": "PBE-GGA",
  "state": "relaxed",
  "total_energy_ev_per_fu": -73.40,
  "cell": [[-5.1418, -4.0237, -5.3272], [4.6454, -4.3866, 5.4941], [-9.5817, 0.7381, 8.6907]],
  "species": ["P", "P", "P", "P", "P", "P", "O", "O", "O", "O", "O", "O", "O", "O", "O", "O", "O", "O", "O", "O", "O", "O", "O", "O", "O", "O", "O", "O", "O", "O", "O", "O", "O", "O", "O", "O", "O", "O", "O", "O", "O", "O", "O", "O", "O", "O", "O", "O", "B", "B", "B", "B", "B", "B", "Zn", "Zn", "Zn", "Zn", "Zn", "Zn", "Zn", "Zn", "Zn", "Zn", "Zn", "Zn", "Zn", "Zn", "Zn", "Zn", "Zn", "Zn"],
  "frac_coords": [[0.6898, 0.7041, 0.5000], [0.3632, 0.0126, 0.0000], [0.6495, 0.6368, 0.0000], [0.9874, 0.3505, 0.0000], [0.2959, 0.9857, 0.5000], [0.0143, 0.3102, 0.5000], [0.4538, 0.8529, 0.2707], [0.8121, 0.9147, 0.8045], [0.1817, 0.9041, 0.4006], [0.4567, 0.9445, 0.5000], [0.0853, 0.8973, 0.1955], [0.0959, 0.2776, 0.4006], [0.5735, 0.5192, 0.0991], [0.2839, 0.1433, 0.0000], [0.5937, 0.7868, 0.0000], [0.5735, 0.5192, 0.9009], [0.1471, 0.6009, 0.2707], [0.0853, 0.8973, 0.8045], [0.8567, 0.1405, 0.0000], [0.0959, 0.2776, 0.5994], [0.1471, 0.6009, 0.7293], [0.7224, 0.8183, 0.4006], [0.2132, 0.8069, 0.0000], [0.4783, 0.2586, 0.7159], [0.4538, 0.8529, 0.7293], [0.1817, 0.9041, 0.5994], [0.9456, 0.4265, 0.0991], [0.8121, 0.9147, 0.1955], [0.7414, 0.2197, 0.2841], [0.8060, 0.1758, 0.5000], [0.8595, 0.7161, 0.0000], [0.3991, 0.5462, 0.2707], [0.4808, 0.0544, 0.0991], [0.7803, 0.5217, 0.2841], [0.8242, 0.6302, 0.5000], [0.4808, 0.0544, 0.9009], [0.3991, 0.5462, 0.7293], [0.9456, 0.4265, 0.9009], [0.1027, 0.1879, 0.8045], [0.7414, 0.2197, 0.7159], [0.1931, 0.4063, 0.0000], [0.7803, 0.5217, 0.7159], [0.4878, 0.5433, 0.5000], [0.7224, 0.8183, 0.5994], [0.1027, 0.1879, 0.1955], [0.4783, 0.2586, 0.2841], [0.3698, 0.1940, 0.5000], [0.0555, 0.5122, 0.5000], [0.0000, 0.0000, 0.8060], [0.6667, 0.3333, 0.2833], [0.6667, 0.3333, 0.7167], [0.0000, 0.0000, 0.1940], [0.3333, 0.6667, 0.7266], [0.3333, 0.6667, 0.2734], [0.3609, 0.3554, 0.6177], [0.3197, 0.3324, 0.8849], [0.6676, 0.9872, 0.8849], [0.6664, 0.6697, 0.2538], [0.0128, 0.6803, 0.8849], [0.0033, 0.3336, 0.2538], [0.9945, 0.6391, 0.3823], [0.6446, 0.0055, 0.3823], [0.0128, 0.6803, 0.1151], [0.0033, 0.3336, 0.7462], [0.9945, 0.6391, 0.6177], [0.3303, 0.9967, 0.2538], [0.6676, 0.9872, 0.1151], [0.3609, 0.3554, 0.3823], [0.6664, 0.6697, 0.7462], [0.6446, 0.0055, 0.6177], [0.3303, 0.9967, 0.7462], [0.3197, 0.3324, 0.1151]]
}


{
  "formula": "SmB7PbO13",
  "functional": "PBE-GGA",
  "state": "relaxed",
  "total_energy_ev_per_fu": -174.43,
  "cell": [[7.7705, 0.0000, 0.0000], [0.0000, 9.0908, 0.0000], [-3.1068, 0.0000, 12.9213]],
  "species": ["O", "O", "O", "O", "O", "O", "O", "O", "O", "O", "O", "O", "O", "O", "O", "O", "O", "O", "O", "O", "O", "O", "O", "O", "O", "O", "O", "O", "O", "O", "O", "O", "O", "O", "O", "O", "O", "O", "O", "O", "O", "O", "O", "O", "O", "O", "O", "O", "O", "O", "O", "O", "B", "B", "B", "B", "B", "B", "B", "B", "B", "B", "B", "B", "B", "B", "B", "B", "B", "B", "B", "B", "B", "B", "B", "B", "B", "B", "B", "B", "Sm", "Sm", "Sm", "Sm", "Pb", "Pb", "Pb", "Pb"],
  "frac_coords": [[0.7601, 0.2276, 0.7713], [0.9504, 0.9639, 0.7702], [0.4505, 0.2697, 0.3769], [0.1517, 0.0658, 0.0800], [0.2399, 0.7276, 0.2287], [0.7823, 0.7046, 0.7690], [0.5475, 0.7276, 0.2284], [0.9341, 0.4792, 0.7686], [0.9568, 0.5159, 0.3883], [0.5420, 0.2658, 0.6093], [0.6761, 0.2241, 0.9280], [0.6540, 0.1197, 0.0805], [0.8263, 0.4630, 0.0733], [0.4317, 0.7078, 0.7687], [0.3460, 0.6197, 0.9195], [0.5683, 0.2078, 0.2313], [0.4580, 0.7658, 0.3907], [0.7500, 0.3213, 0.3864], [0.7461, 0.5706, 0.6087], [0.2593, 0.9635, 0.7705], [0.0432, 0.0159, 0.6117], [0.4525, 0.2276, 0.7716], [0.8483, 0.5658, 0.9200], [0.0659, 0.9792, 0.2314], [0.6530, 0.5700, 0.3773], [0.5495, 0.7697, 0.6231], [0.2539, 0.0706, 0.3913], [0.8487, 0.3189, 0.6205], [0.2451, 0.3188, 0.6212], [0.0453, 0.5171, 0.6138], [0.8406, 0.8212, 0.6136], [0.1594, 0.3212, 0.3864], [0.5744, 0.7918, 0.0013], [0.7206, 0.9824, 0.2322], [0.7549, 0.8188, 0.3788], [0.3239, 0.7241, 0.0720], [0.3409, 0.5707, 0.6079], [0.7475, 0.0701, 0.6222], [0.0764, 0.3940, 0.0024], [0.4256, 0.2918, 0.9987], [0.0495, 0.4639, 0.2298], [0.1737, 0.9630, 0.9267], [0.3470, 0.0700, 0.6227], [0.2794, 0.4824, 0.7678], [0.6591, 0.0707, 0.3921], [0.2177, 0.2046, 0.2310], [0.9236, 0.8940, 0.9976], [0.2525, 0.5701, 0.3777], [0.2500, 0.8213, 0.6136], [0.1513, 0.8189, 0.3795], [0.7407, 0.4635, 0.2295], [0.9547, 0.0171, 0.3862], [0.6059, 0.2161, 0.3444], [0.8750, 0.4579, 0.1795], [0.4225, 0.7182, 0.9973], [0.3559, 0.6051, 0.8190], [0.3979, 0.2211, 0.6590], [0.7264, 0.2215, 0.6594], [0.3941, 0.7161, 0.6556], [0.1407, 0.0813, 0.1802], [0.0753, 0.9681, 0.0018], [0.1250, 0.9579, 0.8205], [0.3732, 0.7313, 0.1783], [0.7735, 0.4686, 0.3415], [0.9247, 0.4681, 0.9982], [0.6268, 0.2313, 0.8217], [0.2301, 0.4713, 0.6541], [0.8593, 0.5813, 0.8198], [0.7699, 0.9713, 0.3459], [0.2685, 0.2159, 0.3446], [0.1031, 0.4692, 0.3424], [0.1058, 0.9710, 0.3450], [0.8969, 0.9692, 0.6576], [0.5775, 0.2182, 0.0027], [0.6021, 0.7211, 0.3410], [0.7315, 0.7159, 0.6554], [0.8942, 0.4710, 0.6550], [0.2265, 0.9686, 0.6585], [0.6441, 0.1051, 0.1810], [0.2736, 0.7215, 0.3406], [0.0005, 0.7204, 0.4993], [0.4985, 0.4682, 0.4925], [0.5015, 0.9682, 0.5075], [0.9995, 0.2204, 0.5007], [0.3388, 0.4002, 0.1390], [0.6612, 0.9002, 0.8610], [0.8371, 0.7864, 0.1385], [0.1629, 0.2864, 0.8615]]
}


{
  "formula": "TbB7PbO13",
  "functional": "PBE-GGA",
  "state": "relaxed",
  "total_energy_ev_per_fu": -174.45,
  "cell": [[7.7243, 0.0000, 0.0000], [0.0000, 9.0379, 0.0000], [-3.1094, 0.0000, 12.8619]],
  "species": ["Tb", "Tb", "Tb", "Tb", "B", "B", "B", "B", "B", "B", "B", "B", "B", "B", "B", "B", "B", "B", "B", "B", "B", "B", "B", "B", "B", "B", "B", "B", "B", "B", "B", "B", "O", "O", "O", "O", "O", "O", "O", "O", "O", "O", "O", "O", "O", "O", "O", "O", "O", "O", "O", "O", "O", "O", "O", "O", "O", "O", "O", "O", "O", "O", "O", "O", "O", "O", "O", "O", "O", "O", "O", "O", "O", "O", "O", "O", "O", "O", "O", "O", "O", "O", "O", "O", "Pb", "Pb", "Pb", "Pb"],
  "frac_coords": [[0.5000, 0.7689, 0.9990], [0.0019, 0.5211, 0.0073], [0.9981, 0.0211, 0.9927], [0.5000, 0.2689, 0.0010], [0.1266, 0.2578, 0.3208], [0.0775, 0.2714, 0.5029], [0.8734, 0.7578, 0.6792], [0.6057, 0.5183, 0.8470], [0.3575, 0.9089, 0.3184], [0.2310, 0.7733, 0.1535], [0.6032, 0.0201, 0.8437], [0.2268, 0.2678, 0.1578], [0.7263, 0.5202, 0.1564], [0.8937, 0.7727, 0.1537], [0.7690, 0.2733, 0.8465], [0.1448, 0.3838, 0.6822], [0.3943, 0.0183, 0.1530], [0.9226, 0.7714, 0.4971], [0.4203, 0.0239, 0.4975], [0.6272, 0.5322, 0.3198], [0.1023, 0.7679, 0.8432], [0.7300, 0.0177, 0.1519], [0.3728, 0.0322, 0.6802], [0.2737, 0.0202, 0.8436], [0.1063, 0.2727, 0.8463], [0.8977, 0.2679, 0.1568], [0.2700, 0.5177, 0.8481], [0.8552, 0.8838, 0.3178], [0.6425, 0.4089, 0.6816], [0.5797, 0.5239, 0.5025], [0.3968, 0.5201, 0.1563], [0.7732, 0.7678, 0.8422], [0.7560, 0.9212, 0.8788], [0.4268, 0.5979, 0.4980], [0.5429, 0.4694, 0.1107], [0.7391, 0.7611, 0.7297], [0.6562, 0.1698, 0.8881], [0.8239, 0.7656, 0.5726], [0.2609, 0.2611, 0.2703], [0.1557, 0.4198, 0.8938], [0.0423, 0.2201, 0.1076], [0.0492, 0.7160, 0.1212], [0.5486, 0.0258, 0.7305], [0.7458, 0.6693, 0.1114], [0.7186, 0.2846, 0.7322], [0.5450, 0.9689, 0.1114], [0.7422, 0.1714, 0.1187], [0.0686, 0.2807, 0.7327], [0.3430, 0.9266, 0.4184], [0.6774, 0.5283, 0.4265], [0.7790, 0.0073, 0.2661], [0.8443, 0.9198, 0.1062], [0.9577, 0.7201, 0.8924], [0.2210, 0.5073, 0.7339], [0.0484, 0.7618, 0.7301], [0.5732, 0.0979, 0.5020], [0.8438, 0.8689, 0.4184], [0.2578, 0.6714, 0.8813], [0.3528, 0.1723, 0.1193], [0.0762, 0.6988, 0.5016], [0.4351, 0.0099, 0.2671], [0.7578, 0.4206, 0.8929], [0.9238, 0.1988, 0.4984], [0.9516, 0.2618, 0.2699], [0.7613, 0.5254, 0.2689], [0.1761, 0.2656, 0.4274], [0.4514, 0.5258, 0.2695], [0.2422, 0.9206, 0.1071], [0.2387, 0.0254, 0.7311], [0.6570, 0.4266, 0.5816], [0.2814, 0.7846, 0.2678], [0.2542, 0.1693, 0.8886], [0.3438, 0.6698, 0.1119], [0.4550, 0.4689, 0.8886], [0.8494, 0.4204, 0.1200], [0.1506, 0.9204, 0.8800], [0.5649, 0.5099, 0.7329], [0.4571, 0.9694, 0.8893], [0.9314, 0.7807, 0.2673], [0.1562, 0.3689, 0.5816], [0.2440, 0.4212, 0.1212], [0.9508, 0.2160, 0.8788], [0.6472, 0.6723, 0.8807], [0.3226, 0.0283, 0.5735], [0.1624, 0.5884, 0.3611], [0.3398, 0.7044, 0.6400], [0.8376, 0.0884, 0.6389], [0.6602, 0.2044, 0.3600]]
}


{
  "formula": "Zn4B6Pb5O18",
  "functional": "PBE-GGA",
  "state": "relaxed",
  "total_energy_ev_per_fu": -212.80,
  "cell": [[-0.5962, -0.8287, -4.7116], [-5.4368, -14.0540, 3.1600], [-10.8609, 4.4548, 1.1260]],
  "species": ["Pb", "Pb", "Pb", "Pb", "Pb", "Pb", "Pb", "Pb", "Pb", "Pb", "O", "O", "O", "O", "O", "O", "O", "O", "O", "O", "O", "O", "O", "O", "O", "O", "O", "O", "O", "O", "O", "O", "O", "O", "O", "O", "O", "O", "O", "O", "O", "O", "O", "O", "O", "O", "Zn", "Zn", "Zn", "Zn", "Zn", "Zn", "Zn", "Zn", "B", "B", "B", "B", "B", "B", "B", "B", "B", "B", "B", "B"],
  "frac_coords": [[0.0277, 0.4580, 0.6543], [0.0277, 0.0420, 0.1543], [0.0352, 0.7703, 0.1059], [0.0000, 0.0000, 0.5000], [0.0352, 0.7297, 0.6059], [0.9723, 0.5420, 0.3457], [0.9723, 0.9580, 0.8457], [0.9648, 0.2703, 0.3941], [0.9648, 0.2297, 0.8941], [0.0000, 0.5000, 0.0000], [0.1965, 0.4290, 0.4718], [0.3897, 0.6575, 0.5070], [0.5949, 0.9718, 0.6184], [0.8035, 0.5710, 0.5282], [0.9010, 0.9029, 0.3232], [0.2464, 0.8631, 0.5963], [0.1060, 0.2364, 0.5804], [0.6103, 0.3425, 0.4930], [0.7023, 0.1851, 0.6696], [0.7536, 0.1369, 0.4037], [0.8940, 0.7636, 0.4196], [0.2464, 0.6369, 0.0963], [0.4051, 0.4718, 0.8816], [0.6219, 0.6500, 0.2416], [0.3897, 0.8425, 0.0070], [0.3781, 0.1500, 0.2584], [0.6219, 0.8500, 0.7416], [0.5770, 0.0453, 0.8527], [0.7536, 0.3631, 0.9037], [0.5770, 0.4547, 0.3527], [0.4051, 0.0282, 0.3816], [0.1060, 0.2636, 0.0804], [0.4230, 0.5453, 0.6473], [0.8940, 0.7364, 0.9196], [0.7023, 0.3149, 0.1696], [0.9010, 0.5971, 0.8232], [0.6103, 0.1575, 0.9930], [0.2977, 0.8149, 0.3304], [0.8035, 0.9290, 0.0282], [0.5949, 0.5282, 0.1184], [0.2977, 0.6851, 0.8304], [0.3781, 0.3500, 0.7584], [0.0990, 0.4029, 0.1768], [0.4230, 0.9547, 0.1473], [0.0990, 0.0971, 0.6768], [0.1965, 0.0710, 0.9718], [0.4970, 0.4219, 0.1928], [0.4747, 0.2848, 0.6269], [0.4747, 0.2152, 0.1269], [0.4970, 0.0781, 0.6928], [0.5030, 0.9219, 0.3072], [0.5252, 0.7848, 0.8731], [0.5253, 0.7152, 0.3731], [0.5030, 0.5781, 0.8072], [0.4835, 0.6069, 0.1530], [0.5378, 0.9101, 0.0589], [0.0249, 0.8267, 0.3595], [0.0249, 0.6733, 0.8595], [0.5165, 0.1069, 0.3470], [0.4622, 0.4101, 0.4411], [0.4835, 0.8931, 0.6530], [0.5165, 0.3931, 0.8470], [0.9751, 0.1733, 0.6405], [0.5378, 0.5899, 0.5589], [0.4622, 0.0899, 0.9411], [0.9751, 0.3267, 0.1405]]
}


{
  "formula": "Zn2B2PbO6",
  "functional": "PBE-GGA",
  "state": "relaxed",
  "total_energy_ev_per_fu": -69.82,
  "cell": [[-1.1319, -1.3345, -4.6624], [7.5920, -8.0347, 0.4566], [-7.2818, -6.6716, 3.6774]],
  "species": ["O", "O", "O", "O", "O", "O", "O", "O", "O", "O", "O", "O", "O", "O", "O", "O", "O", "O", "O", "O", "O", "O", "O", "O", "Zn", "Zn", "Zn", "Zn", "Zn", "Zn", "Zn", "Zn", "B", "B", "B", "B", "B", "B", "B", "B", "Pb", "Pb", "Pb", "Pb"],
  "frac_coords": [[0.9213, 0.8698, 0.9137], [0.3447, 0.8729, 0.0247], [0.4213, 0.3698, 0.0863], [0.3179, 0.9430, 0.8117], [0.5787, 0.8698, 0.4137], [0.6553, 0.3729, 0.4753], [0.6821, 0.0570, 0.1883], [0.3447, 0.6271, 0.5247], [0.5787, 0.6302, 0.9137], [0.6553, 0.1271, 0.9753], [0.0787, 0.1302, 0.0863], [0.8447, 0.1271, 0.4753], [0.1821, 0.9430, 0.3117], [0.8179, 0.4430, 0.1883], [0.1553, 0.8729, 0.5247], [0.8179, 0.0570, 0.6883], [0.8447, 0.3729, 0.9753], [0.1821, 0.5570, 0.8117], [0.6821, 0.4430, 0.6883], [0.3179, 0.5570, 0.3117], [0.9213, 0.6302, 0.4137], [0.4213, 0.1302, 0.5863], [0.1553, 0.6271, 0.0247], [0.0787, 0.3698, 0.5863], [0.6818, 0.5026, 0.3500], [0.8182, 0.5026, 0.8500], [0.8182, 0.9974, 0.3500], [0.1818, 0.0026, 0.6500], [0.6818, 0.9974, 0.8500], [0.3182, 0.4974, 0.6500], [0.1818, 0.4974, 0.1500], [0.3182, 0.0026, 0.1500], [0.3055, 0.8936, 0.4171], [0.8055, 0.3936, 0.5829], [0.1945, 0.6064, 0.4171], [0.3055, 0.6064, 0.9171], [0.6945, 0.1064, 0.5829], [0.8055, 0.1064, 0.0829], [0.6945, 0.3936, 0.0829], [0.1945, 0.8936, 0.9171], [0.7500, 0.7500, 0.0737], [0.7500, 0.7500, 0.5737], [0.2500, 0.2500, 0.9263], [0.2500, 0.2500, 0.4263]]
}


{
  "formula": "PmBO3",
  "functional": "PBE-GGA",
  "state": "relaxed",
  "total_energy_ev_per_fu": -41.47,
  "cell": [[4.0705, 0.0000, 0.0000], [0.0000, 4.9989, 0.0000], [-1.8829, 0.0000, 5.8273]],
  "species": ["O", "O", "O", "O", "O", "O", "Pm", "Pm", "B", "B"],
  "frac_coords": [[0.6593, 0.9873, 0.8286], [0.1573, 0.7500, 0.6144], [0.3407, 0.0127, 0.1714], [0.8427, 0.2500, 0.3856], [0.6593, 0.5127, 0.8286], [0.3407, 0.4873, 0.1714], [0.1211, 0.2500, 0.7779], [0.8789, 0.7500, 0.2221], [0.5010, 0.2500, 0.2551], [0.4990, 0.7500, 0.7449]]
}